Entry 1:
The following is a DFT calculation (PBE) of a relaxed structure of ZrCrSn.

The space group is I4/mmm (No. 139) and the conventional cell measures 3.1488, 3.1488 and 23.2521 Å, with angles of 90.00, 90.00 and 90.00 degrees. The inequivalent atoms are Zr at (0.0000, 0.0000, 0.0643), Cr at (0.0000, 0.0000, 0.2255) and Sn at (0.0000, 0.0000, 0.3461).

The calculation puts the volume at 231 Å³/cell. For the magnetic moment, the calculation gives 0.1 μB per formula unit. The value obtained for the energy of formation from the pure elements is 0.581 eV/f.u. The calculation puts the total energy at -7.198 eV/atom. Its density of states at the Fermi level is 3.4 states/eV/f.u.

=====

Entry 2:
The following is a DFT calculation (PBE) of a relaxed structure of LuPuTc4.

The space group is F-43m (No. 216) and the conventional cell measures 7.5876, 7.5876 and 7.5876 Å, with angles of 90.00, 90.00 and 90.00 degrees. The inequivalent atoms are Lu at (0.0000, 0.0000, 0.0000), Pu at (0.2500, 0.2500, 0.2500) and Tc at (0.1253, 0.1253, 0.6253).

The calculation puts the volume at 437 Å³/cell. For the magnetic moment, the calculation gives 6.0 μB per formula unit. The value obtained for the energy of formation from the pure elements is -0.453 eV/f.u. The calculation puts the total energy at -10.128 eV/atom. Its density of states at the Fermi level is 11.3 states/eV/f.u.

=====

Entry 3:
The following is a DFT calculation (PBE) of a relaxed structure of MgOs3.

The space group is C2/m (No. 12) and the conventional cell measures 9.2024, 2.7564 and 4.7390 Å, with angles of 90.00, 99.62 and 90.00 degrees. The inequivalent atoms are Mg at (0.0000, 0.0000, 0.0000), Os at (0.0000, 0.5000, 0.5000) and Os at (0.2386, 0.0000, 0.7410).

The calculation puts the volume at 119 Å³/cell. For the magnetic moment, the calculation gives 0.0 μB per formula unit. The value obtained for the energy of formation from the pure elements is 1.042 eV/f.u. The calculation puts the total energy at -8.560 eV/atom. Its density of states at the Fermi level is 4.1 states/eV/f.u.

=====

Entry 4:
The following is a DFT calculation (PBE) of a relaxed structure of CoRe2Cl.

The space group is C2/m (No. 12) and the conventional cell measures 8.2396, 2.8019 and 5.2790 Å, with angles of 90.00, 102.84 and 90.00 degrees. The inequivalent atoms are Co at (0.0000, 0.0000, 0.0000), Re at (0.2460, 0.5000, 0.2057) and Cl at (0.0000, 0.5000, 0.5000).

The calculation puts the volume at 119 Å³/cell. For the magnetic moment, the calculation gives 0.6 μB per formula unit. The calculation puts the total energy at -7.629 eV/atom. The calculation puts the raw formation energy at 0.83 eV per atom. Its density of states at the Fermi level is 4.3 states/eV/f.u. For the energy above the most stable polymorph in this dataset, the calculation gives 465 meV per atom.

=====

Entry 5:
The following is a DFT calculation (PBE) of a relaxed structure of Zr2TcMoH.

The space group is P4/mmm (No. 123) and the conventional cell measures 4.6679, 4.6679 and 3.4996 Å, with angles of 90.00, 90.00 and 90.00 degrees. The inequivalent atoms are Zr at (0.0000, 0.5000, 0.0000), Tc at (0.0000, 0.0000, 0.5000), Mo at (0.5000, 0.5000, 0.5000) and H at (0.5000, 0.5000, 0.0000).

The calculation puts the volume at 76 Å³/cell. For the magnetic moment, the calculation gives 0.0 μB per formula unit. The calculation puts the total energy at -8.512 eV/atom. Its density of states at the Fermi level is 4.8 states/eV/f.u. For the energy above the most stable polymorph in this dataset, the calculation gives 0 meV per atom.

=====

Entry 6:
The following is a DFT calculation (PBE) of a relaxed structure of KLaCr.

The space group is P3m1 (No. 156) and the conventional cell measures 5.8111, 5.8111 and 3.3872 Å, with angles of 90.00, 90.00 and 120.00 degrees. The inequivalent atoms are K at (0.0000, 0.0000, 0.0000), La at (0.6667, 0.3333, 0.3352) and Cr at (0.3333, 0.6667, 0.7485).

The calculation puts the volume at 99 Å³/cell. For the magnetic moment, the calculation gives 4.3 μB per formula unit. The value obtained for the energy of formation from the pure elements is 2.826 eV/f.u. The calculation puts the total energy at -4.274 eV/atom. Its density of states at the Fermi level is 3.4 states/eV/f.u. For the energy above the most stable polymorph in this dataset, the calculation gives 248 meV per atom.

=====

Entry 7:
The following is a DFT calculation (PBE) of a relaxed structure of Pm2TeS4.

The space group is I4/mmm (No. 139) and the conventional cell measures 6.7689, 6.7689 and 7.3264 Å, with angles of 90.00, 90.00 and 90.00 degrees. The inequivalent atoms are Pm at (0.0000, 0.5000, 0.2500), Te at (0.0000, 0.0000, 0.0000) and S at (0.2289, 0.2289, 0.5000).

The calculation puts the volume at 336 Å³/cell. For the magnetic moment, the calculation gives 0.0 μB per formula unit. The calculation puts the total energy at -5.390 eV/atom. The calculation puts the raw formation energy at -1.23 eV per atom. Its density of states at the Fermi level is 1.1 states/eV/f.u.

=====

Entry 8:
The following is a DFT calculation (PBE) of a relaxed structure of AgRu3.

The space group is Pnma (No. 62) and the conventional cell measures 4.7738, 8.9998 and 5.4933 Å, with angles of 90.00, 90.00 and 90.00 degrees. The inequivalent atoms are Ag at (0.0778, 0.2500, 0.1349), Ru at (0.0758, 0.2500, 0.6391) and Ru at (0.2388, 0.5094, 0.3805).

The calculation puts the volume at 236 Å³/cell. For the magnetic moment, the calculation gives 0.0 μB per formula unit. The value obtained for the energy of formation from the pure elements is 1.763 eV/f.u. The calculation puts the total energy at -7.229 eV/atom. Its density of states at the Fermi level is 4.6 states/eV/f.u.

=====

Entry 9:
The following is a DFT calculation (PBE) of a relaxed structure of LaZn2W.

The space group is Fm-3m (No. 225) and the conventional cell measures 6.8382, 6.8382 and 6.8382 Å, with angles of 90.00, 90.00 and 90.00 degrees. The inequivalent atoms are La at (0.0000, 0.0000, 0.0000), Zn at (0.2500, 0.2500, 0.2500) and W at (0.0000, 0.0000, 0.5000).

The calculation puts the volume at 320 Å³/cell. For the magnetic moment, the calculation gives 1.1 μB per formula unit. The value obtained for the energy of formation from the pure elements is 1.743 eV/f.u. The calculation puts the total energy at -4.671 eV/atom. Its density of states at the Fermi level is 2.8 states/eV/f.u. For the energy above the most stable polymorph in this dataset, the calculation gives 192 meV per atom.

=====

Entry 10:
The following is a DFT calculation (PBE) of a relaxed structure of Sc2CuB.

The space group is R-3m (No. 166, hexagonal axes) and the conventional cell measures 3.2416, 3.2416 and 26.2385 Å, with angles of 90.00, 90.00 and 120.00 degrees. The inequivalent atoms are Sc at (0.0000, 0.0000, 0.0906), Cu at (0.0000, 0.0000, 0.5000) and B at (0.0000, 0.0000, 0.0000).

The calculation puts the volume at 239 Å³/cell. For the magnetic moment, the calculation gives 0.0 μB per formula unit. The value obtained for the energy of formation from the pure elements is 3.589 eV/f.u. The calculation puts the total energy at -4.962 eV/atom. Its density of states at the Fermi level is 5.2 states/eV/f.u.

=====

Entry 11:
The following is a DFT calculation (PBE) of a relaxed structure of NaVAsBr2.

The space group is P4/mmm (No. 123) and the conventional cell measures 5.0964, 5.0964 and 5.4984 Å, with angles of 90.00, 90.00 and 90.00 degrees. The inequivalent atoms are Na at (0.0000, 0.0000, 0.0000), V at (0.5000, 0.5000, 0.5000), As at (0.0000, 0.0000, 0.5000) and Br at (0.0000, 0.5000, 0.0000).

The calculation puts the volume at 143 Å³/cell. For the magnetic moment, the calculation gives 1.5 μB per formula unit. The calculation puts the total energy at -2.881 eV/atom. The calculation puts the raw formation energy at 0.81 eV per atom. Its density of states at the Fermi level is 10.8 states/eV/f.u. For the energy above the most stable polymorph in this dataset, the calculation gives 1272 meV per atom.

=====

Entry 12:
The following is a DFT calculation (PBE) of a relaxed structure of Na2OsPbC.

The space group is P4/mmm (No. 123) and the conventional cell measures 4.9540, 4.9540 and 3.9163 Å, with angles of 90.00, 90.00 and 90.00 degrees. The inequivalent atoms are Na at (0.0000, 0.5000, 0.0000), Os at (0.0000, 0.0000, 0.5000), Pb at (0.5000, 0.5000, 0.5000) and C at (0.0000, 0.0000, 0.0000).

The calculation puts the volume at 96 Å³/cell. For the magnetic moment, the calculation gives 0.0 μB per formula unit. The value obtained for the energy of formation from the pure elements is 2.687 eV/f.u. The calculation puts the total energy at -4.823 eV/atom. Its density of states at the Fermi level is 2.5 states/eV/f.u.

=====

Number 8 is which compound?
AgRu3